i) First-principles (PBE-GGA) data for a geometry-optimized TbDy3Hg2 structure, as listed in the Alexandria database.

Calculated values
Symmetry: P4/mmm, No. 123
Volume: 167.7 Å³/cell

a b c (Å): 3.672 3.672 12.439
angles (deg): 90.00 90.00 90.00
Sites, in units of the cell vectors:
Tb  0.000  0.000  0.000
Dy  0.500  0.500  0.196
Dy  0.500  0.500  0.500
Dy  0.500  0.500  0.804
Hg  0.000  0.000  0.348
Hg  0.000  0.000  0.652

=====

ii) First-principles (PBE-GGA) data for a geometry-optimized TbDy3Hg2 structure, as listed in the Alexandria database.

Calculated values
Symmetry: Pmc2_1, No. 26
Volume: 334.4 Å³/cell

a b c (Å): 5.113 9.241 7.076
angles (deg): 90.00 90.00 90.00
Sites, in units of the cell vectors:
Tb  0.000  0.055  0.000
Tb  0.000  0.945  0.500
Dy  0.000  0.326  0.655
Dy  0.000  0.674  0.155
Dy  0.500  0.175  0.315
Dy  0.500  0.444  0.969
Dy  0.500  0.556  0.469
Dy  0.500  0.825  0.815
Hg  0.000  0.351  0.223
Hg  0.000  0.649  0.723
Hg  0.500  0.149  0.747
Hg  0.500  0.851  0.247

=====

Stability ranking, top and bottom: ii) is the most stable and i) is the least stable.

=====

i) First-principles (PBE-GGA) data for a geometry-optimized Tb2Dy2Hg structure, as listed in the Alexandria database.

Calculated values
Symmetry: I4/mmm, No. 139
Volume: 147.4 Å³/cell

a b c (Å): 11.793 11.793 11.793
angles (deg): 162.55 162.55 24.77
Sites, in units of the cell vectors:
Tb  0.196  0.196  0.000
Tb  0.804  0.804  0.000
Dy  0.413  0.413  0.000
Dy  0.587  0.587  0.000
Hg  0.000  0.000  0.000

=====

ii) First-principles (PBE-GGA) data for a geometry-optimized Tb2Dy2Hg structure, as listed in the Alexandria database.

Calculated values
Symmetry: I4_1/amd, No. 141
Volume: 319.1 Å³/cell

a b c (Å): 13.048 13.048 13.048
angles (deg): 157.72 157.72 31.72
Sites, in units of the cell vectors:
Tb  0.052  0.302  0.750
Tb  0.302  0.052  0.250
Tb  0.698  0.948  0.750
Tb  0.948  0.698  0.250
Dy  0.201  0.451  0.750
Dy  0.451  0.201  0.250
Dy  0.549  0.799  0.750
Dy  0.799  0.549  0.250
Hg  0.375  0.625  0.750
Hg  0.625  0.375  0.250

=====

Stability ranking, top and bottom: i) is the most stable and ii) is the least stable.

=====

i) First-principles (PBE-GGA) data for a geometry-optimized TbDyHg2 structure, as listed in the Alexandria database.

Calculated values
Symmetry: Fm-3m, No. 225
Volume: 103.7 Å³/cell

a b c (Å): 5.274 5.274 5.274
angles (deg): 60.00 60.00 60.00
Sites, in units of the cell vectors:
Tb  0.000  0.000  0.000
Dy  0.500  0.500  0.500
Hg  0.250  0.250  0.250
Hg  0.750  0.750  0.750

=====

ii) First-principles (PBE-GGA) data for a geometry-optimized TbDyHg2 structure, as listed in the Alexandria database.

Calculated values
Symmetry: Cm, No. 8
Volume: 112.0 Å³/cell

a b c (Å): 3.756 3.756 9.432
angles (deg): 101.59 101.59 59.89
Sites, in units of the cell vectors:
Tb  0.000  0.000  0.000
Dy  0.834  0.834  0.501
Hg  0.249  0.249  0.749
Hg  0.417  0.417  0.252

=====

Stability ranking, top and bottom: i) is the most stable and ii) is the least stable.

=====

i) First-principles (PBE-GGA) data for a geometry-optimized Dy4TcHg structure, as listed in the Alexandria database.

Calculated values
Symmetry: P2_1/c, No. 14
Volume: 354.2 Å³/cell

a b c (Å): 7.694 6.899 6.674
angles (deg): 90.00 90.18 90.00
Sites, in units of the cell vectors:
Dy  0.141  0.149  0.160
Dy  0.141  0.351  0.660
Dy  0.295  0.650  0.141
Dy  0.295  0.850  0.641
Dy  0.705  0.150  0.359
Dy  0.705  0.350  0.859
Dy  0.859  0.649  0.340
Dy  0.859  0.851  0.840
Tc  0.000  0.000  0.500
Tc  0.000  0.500  0.000
Hg  0.500  0.000  0.000
Hg  0.500  0.500  0.500

=====

ii) First-principles (PBE-GGA) data for a geometry-optimized Dy4TcHg structure, as listed in the Alexandria database.

Calculated values
Symmetry: C2/c, No. 15
Volume: 326.8 Å³/cell

a b c (Å): 7.631 7.631 6.296
angles (deg): 98.63 98.63 112.23
Sites, in units of the cell vectors:
Dy  0.065  0.724  0.959
Dy  0.204  0.363  0.594
Dy  0.276  0.935  0.541
Dy  0.363  0.204  0.094
Dy  0.637  0.796  0.906
Dy  0.724  0.065  0.459
Dy  0.796  0.637  0.406
Dy  0.935  0.276  0.041
Tc  0.001  0.999  0.750
Tc  0.999  0.001  0.250
Hg  0.373  0.627  0.250
Hg  0.627  0.373  0.750

=====

Stability ranking, top and bottom: ii) is the most stable and i) is the least stable.